{"formula": "SrMgCoP2O8", "functional": "GGA+U", "state": "relaxed", "e_above_lowest_polymorph_mev_per_atom": 0, "magmom_total_mub_per_fu": 3.00, "spacegroup": "P-1", "dos_ef_per_ev_cell": 0.0, "cell": [[5.552, 0.000, 0.000], [-1.006, 6.743, 0.000], [-1.850, -3.560, 8.465]], "species": ["Sr", "Sr", "Mg", "Mg", "Co", "Co", "P", "P", "P", "P", "O", "O", "O", "O", "O", "O", "O", "O", "O", "O", "O", "O", "O", "O", "O", "O"], "frac_coords": [[0.244, 0.199, 0.446], [0.756, 0.801, 0.554], [0.492, 0.400, 0.152], [0.508, 0.600, 0.848], [0.138, 0.853, 0.062], [0.862, 0.147, 0.938], [0.108, 0.573, 0.262], [0.341, 0.029, 0.804], [0.659, 0.971, 0.196], [0.892, 0.427, 0.738], [0.116, 0.408, 0.099], [0.118, 0.953, 0.865], [0.150, 0.478, 0.702], [0.161, 0.803, 0.265], [0.245, 0.000, 0.632], [0.332, 0.546, 0.378], [0.457, 0.111, 0.183], [0.485, 0.267, 0.918], [0.515, 0.733, 0.082], [0.543, 0.889, 0.817], [0.668, 0.454, 0.622], [0.755, 0.000, 0.368], [0.839, 0.197, 0.735], [0.850, 0.522, 0.298], [0.882, 0.047, 0.135], [0.884, 0.592, 0.901]]}